A plane-wave DFT calculation with GGA-PBE was carried out for crystalline VHg2BiN at its relaxed geometry.

a b c (Å): 6.134 5.437 6.134
angles (deg): 90.00 90.00 90.00
Last column: magnetic moment on the atom in μB.
Fractional coordinates of all 5 atoms:
N1 0.500 0.500 0.500  1.79
V1 0.000 0.500 0.000  2.99
Bi1 0.000 0.000 0.000  -0.09
Hg1 0.000 0.000 0.500  0.01
Hg2 0.500 0.000 0.000  0.02

Output
- Energy relative to the elements, uncorrected: 1.697 eV per atom
- Total moment: 6.40 μB/cell